First-principles (PBE-GGA) data for crystalline HoTm2Ag3Se6 at its relaxed geometry, as listed in the Alexandria database.

Space group: C2/m

a = 4.132 Å, b = 8.064 Å, c = 9.070 Å
α = 100.91°, β = 103.17°, γ = 90.00°
Element x y z (fractional)
Ho 0.500 0.000 0.000
Tm 0.833 0.665 0.666
Tm 0.167 0.335 0.334
Ag 0.500 0.500 0.000
Ag 0.834 0.164 0.669
Ag 0.166 0.836 0.331
Se 0.334 0.910 0.669
Se 0.669 0.580 0.338
Se 0.666 0.090 0.331
Se 0.002 0.248 0.005
Se 0.998 0.752 0.995
Se 0.331 0.420 0.662

=====

First-principles (PBE-GGA) data for crystalline Ho2UAg2Se6 at its relaxed geometry, as listed in the Alexandria database.

Space group: C2/m

a = 7.251 Å, b = 7.251 Å, c = 6.811 Å
α = 94.82°, β = 94.82°, γ = 120.53°
Element x y z (fractional)
Ho 0.334 0.666 0.500
Ho 0.666 0.334 0.500
U 0.000 0.000 0.500
Ag 0.884 0.116 0.000
Ag 0.116 0.884 0.000
Se 0.706 0.706 0.732
Se 0.036 0.372 0.728
Se 0.294 0.294 0.268
Se 0.372 0.036 0.728
Se 0.964 0.628 0.272
Se 0.628 0.964 0.272

=====

First-principles (PBE-GGA) data for crystalline Y2HoAg3Se6 at its relaxed geometry, as listed in the Alexandria database.

Space group: C2/m

a = 4.170 Å, b = 8.082 Å, c = 9.086 Å
α = 100.27°, β = 103.26°, γ = 90.00°
Element x y z (fractional)
Y 0.833 0.669 0.666
Y 0.167 0.331 0.334
Ho 0.500 0.000 0.000
Ag 0.500 0.500 0.000
Ag 0.832 0.171 0.664
Ag 0.168 0.829 0.336
Se 0.335 0.917 0.670
Se 0.667 0.579 0.335
Se 0.665 0.083 0.330
Se 0.001 0.246 0.002
Se 0.999 0.754 0.998
Se 0.333 0.421 0.665

=====

First-principles (PBE-GGA) data for crystalline YHoAg2Se4 at its relaxed geometry, as listed in the Alexandria database.

Space group: P2/m

a = 4.169 Å, b = 6.895 Å, c = 7.214 Å
α = 70.13°, β = 90.00°, γ = 90.00°
Element x y z (fractional)
Y 0.000 0.500 0.500
Ho 0.500 0.500 0.000
Ag 0.000 0.000 0.000
Ag 0.500 0.000 0.500
Se 0.000 0.745 0.755
Se 0.000 0.255 0.245
Se 0.500 0.745 0.252
Se 0.500 0.255 0.748

=====

First-principles (PBE-GGA) data for crystalline Ho3Si4Ag at its relaxed geometry, as listed in the Alexandria database.

Space group: Immm

a = 4.160 Å, b = 5.792 Å, c = 8.230 Å
α = 110.60°, β = 104.64°, γ = 90.00°
Element x y z (fractional)
Ho 0.193 0.193 0.386
Ho 0.807 0.807 0.614
Ho 0.000 0.500 0.000
Si 0.376 0.577 0.751
Si 0.624 0.423 0.249
Si 0.624 0.826 0.249
Si 0.376 0.174 0.751
Ag 0.500 0.000 0.000

=====

First-principles (PBE-GGA) data for crystalline Ho5Si2Ag at its relaxed geometry, as listed in the Alexandria database.

Space group: I4/mcm

a = 7.443 Å, b = 7.442 Å, c = 8.882 Å
α = 114.77°, β = 114.77°, γ = 90.00°
Element x y z (fractional)
Ho 0.530 0.689 0.719
Ho 0.811 0.970 0.281
Ho 0.000 0.000 0.000
Ho 0.500 0.500 0.000
Ho 0.189 0.030 0.719
Ho 0.689 0.189 0.719
Ho 0.030 0.530 0.719
Ho 0.311 0.811 0.281
Ho 0.970 0.470 0.281
Ho 0.470 0.311 0.281
Si 0.123 0.377 0.000
Si 0.623 0.123 0.000
Si 0.377 0.877 0.000
Si 0.877 0.623 0.000
Ag 0.750 0.750 0.500
Ag 0.250 0.250 0.500

=====

First-principles (PBE-GGA) data for crystalline Ho2SiAg at its relaxed geometry, as listed in the Alexandria database.

Space group: R-3m

a = 4.248 Å, b = 4.248 Å, c = 7.081 Å
α = 72.55°, β = 72.55°, γ = 60.00°
Element x y z (fractional)
Si 0.000 0.000 0.000
Ho 0.741 0.741 0.778
Ho 0.259 0.259 0.222
Ag 0.500 0.500 0.500

=====

First-principles (PBE-GGA) data for crystalline HoSi2Ag at its relaxed geometry, as listed in the Alexandria database.

Space group: Pnma

a = 4.182 Å, b = 6.675 Å, c = 10.817 Å
α = 90.00°, β = 90.00°, γ = 90.00°
Element x y z (fractional)
Ho 0.750 0.345 0.346
Ho 0.250 0.655 0.654
Ho 0.750 0.845 0.154
Ho 0.250 0.155 0.846
Si 0.250 0.020 0.335
Si 0.750 0.980 0.665
Si 0.250 0.520 0.165
Si 0.750 0.480 0.835
Si 0.250 0.159 0.137
Si 0.750 0.841 0.863
Si 0.250 0.659 0.363
Si 0.750 0.341 0.637
Ag 0.750 0.333 0.051
Ag 0.250 0.667 0.949
Ag 0.750 0.833 0.449
Ag 0.250 0.167 0.551

=====

First-principles (PBE-GGA) data for crystalline HoSi2Ag6 at its relaxed geometry, as listed in the Alexandria database.

Space group: P4/mmm

a = 4.115 Å, b = 4.115 Å, c = 9.717 Å
α = 90.00°, β = 90.00°, γ = 90.00°
Element x y z (fractional)
Ho 0.000 0.000 0.000
Si 0.500 0.500 0.116
Si 0.500 0.500 0.884
Ag 0.000 0.500 0.278
Ag 0.500 0.000 0.278
Ag 0.000 0.500 0.722
Ag 0.500 0.000 0.722
Ag 0.500 0.500 0.500
Ag 0.000 0.000 0.500

=====

First-principles (PBE-GGA) data for crystalline Ho2SiAg at its relaxed geometry, as listed in the Alexandria database.

Space group: P4/mmm

a = 3.652 Å, b = 4.962 Å, c = 4.962 Å
α = 90.00°, β = 90.00°, γ = 90.00°
Element x y z (fractional)
Si 0.500 0.000 0.000
Ho 0.000 0.000 0.500
Ho 0.000 0.500 0.000
Ag 0.500 0.500 0.500

=====

First-principles (PBE-GGA) data for crystalline HoSi2Ag at its relaxed geometry, as listed in the Alexandria database.

Space group: Pnma

a = 4.178 Å, b = 10.790 Å, c = 13.400 Å
α = 90.00°, β = 90.00°, γ = 90.00°
Element x y z (fractional)
Ho 0.750 0.457 0.695
Ho 0.250 0.957 0.805
Ho 0.250 0.543 0.305
Ho 0.750 0.043 0.195
Ho 0.750 0.239 0.948
Ho 0.250 0.739 0.552
Ho 0.250 0.761 0.052
Ho 0.750 0.261 0.448
Si 0.750 0.965 0.971
Si 0.250 0.465 0.529
Si 0.250 0.035 0.029
Si 0.750 0.535 0.471
Si 0.750 0.776 0.891
Si 0.250 0.276 0.609
Si 0.250 0.224 0.109
Si 0.750 0.724 0.391
Si 0.750 0.754 0.711
Si 0.250 0.254 0.789
Si 0.250 0.246 0.289
Si 0.750 0.746 0.211
Si 0.750 0.942 0.632
Si 0.250 0.442 0.868
Si 0.250 0.058 0.368
Si 0.750 0.558 0.132
Ag 0.750 0.550 0.938
Ag 0.250 0.050 0.562
Ag 0.250 0.450 0.062
Ag 0.750 0.950 0.438
Ag 0.750 0.344 0.211
Ag 0.250 0.844 0.289
Ag 0.250 0.656 0.789
Ag 0.750 0.156 0.711

=====

First-principles (PBE-GGA) data for crystalline TbHoSiAg at its relaxed geometry, as listed in the Alexandria database.

Space group: F-43m

a = 5.046 Å, b = 5.046 Å, c = 5.046 Å
α = 60.00°, β = 60.00°, γ = 60.00°
Element x y z (fractional)
Si 0.750 0.750 0.750
Tb 0.000 0.000 0.000
Ho 0.500 0.500 0.500
Ag 0.250 0.250 0.250

=====

First-principles (PBE-GGA) data for crystalline Ho8Si3AgTe4 at its relaxed geometry, as listed in the Alexandria database.

Space group: R-3m

a = 8.433 Å, b = 8.566 Å, c = 8.433 Å
α = 119.49°, β = 120.00°, γ = 90.00°
Element x y z (fractional)
Ho 0.248 0.725 0.976
Ho 0.248 0.725 0.497
Ho 0.261 0.283 0.522
Ho 0.728 0.725 0.976
Ho 0.272 0.275 0.024
Ho 0.739 0.717 0.478
Ho 0.752 0.275 0.503
Ho 0.752 0.275 0.024
Si 0.500 0.500 0.000
Si 0.500 0.500 0.500
Si 0.000 0.500 0.500
Ag 0.000 0.500 0.000
Te 0.500 0.000 0.000
Te 0.500 0.000 0.500
Te 0.000 0.000 0.000
Te 0.000 0.000 0.500

=====

First-principles (PBE-GGA) data for crystalline HoThSiAg at its relaxed geometry, as listed in the Alexandria database.

Space group: F-43m

a = 5.126 Å, b = 5.126 Å, c = 5.126 Å
α = 60.00°, β = 60.00°, γ = 60.00°
Element x y z (fractional)
Ag 0.250 0.250 0.250
Si 0.750 0.750 0.750
Ho 0.000 0.000 0.000
Th 0.500 0.500 0.500

=====

First-principles (PBE-GGA) data for crystalline SmHo2Ag at its relaxed geometry, as listed in the Alexandria database.

Energy of formation, kJ per mole of atoms: -1
Excess energy over the best structure of this formula in the dataset, meV/atom: 129
Space group: R3m

a = 3.600 Å, b = 3.600 Å, c = 10.573 Å
α = 80.20°, β = 80.20°, γ = 60.00°
Element x y z (fractional)
Sm 0.500 0.500 0.500
Ho 0.073 0.073 0.781
Ho 0.260 0.260 0.219
Ag 0.667 0.667 0.000

=====

First-principles (PBE-GGA) data for crystalline Sm3Ho4Ag4 at its relaxed geometry, as listed in the Alexandria database.

Energy of formation, kJ per mole of atoms: -11
Space group: Immm

a = 5.030 Å, b = 7.587 Å, c = 9.136 Å
α = 114.53°, β = 105.98°, γ = 90.00°
Element x y z (fractional)
Sm 0.106 0.106 0.211
Sm 0.894 0.894 0.789
Sm 0.000 0.500 0.000
Ho 0.325 0.105 0.650
Ho 0.675 0.455 0.350
Ho 0.675 0.895 0.350
Ho 0.325 0.545 0.650
Ag 0.199 0.699 0.399
Ag 0.801 0.301 0.601
Ag 0.500 0.813 0.000
Ag 0.500 0.187 0.000

=====

First-principles (PBE-GGA) data for crystalline SmHo2Ag at its relaxed geometry, as listed in the Alexandria database.

Energy of formation, kJ per mole of atoms: -13
Excess energy over the best structure of this formula in the dataset, meV/atom: 0
Space group: P4/mmm

a = 3.580 Å, b = 3.580 Å, c = 8.833 Å
α = 90.00°, β = 90.00°, γ = 90.00°
Element x y z (fractional)
Ag 0.500 0.500 0.000
Ho 0.000 0.000 0.790
Ho 0.000 0.000 0.210
Sm 0.500 0.500 0.500

=====

First-principles (PBE-GGA) data for crystalline Sm5HoAg6 at its relaxed geometry, as listed in the Alexandria database.

Energy of formation, kJ per mole of atoms: -28
Space group: P2/m

a = 5.253 Å, b = 7.321 Å, c = 8.330 Å
α = 90.00°, β = 71.27°, γ = 89.99°
Element x y z (fractional)
Sm 0.668 0.500 0.665
Sm 0.334 0.000 0.332
Sm 0.000 0.500 0.000
Sm 0.666 0.000 0.668
Sm 0.332 0.500 0.335
Ho 0.000 0.000 0.000
Ag 0.836 0.754 0.328
Ag 0.836 0.246 0.328
Ag 0.500 0.244 0.000
Ag 0.500 0.756 0.000
Ag 0.164 0.754 0.672
Ag 0.164 0.246 0.672

=====

First-principles (PBE-GGA) data for crystalline SmHo4Ag at its relaxed geometry, as listed in the Alexandria database.

Energy of formation, kJ per mole of atoms: -8
Excess energy over the best structure of this formula in the dataset, meV/atom: 0
Space group: P4/mmm

a = 3.552 Å, b = 3.552 Å, c = 13.877 Å
α = 90.00°, β = 90.00°, γ = 90.00°
Element x y z (fractional)
Sm 0.000 0.000 0.000
Ho 0.500 0.500 0.182
Ho 0.000 0.000 0.636
Ho 0.000 0.000 0.364
Ho 0.500 0.500 0.818
Ag 0.500 0.500 0.500

=====

First-principles (PBE-GGA) data for crystalline SmHo2Ag2 at its relaxed geometry, as listed in the Alexandria database.

Energy of formation, kJ per mole of atoms: -5
Excess energy over the best structure of this formula in the dataset, meV/atom: 177
Space group: C2/m

a = 4.929 Å, b = 4.929 Å, c = 7.062 Å
α = 114.18°, β = 114.18°, γ = 89.44°
Element x y z (fractional)
Sm 0.000 0.000 0.000
Ho 0.250 0.750 0.500
Ho 0.750 0.250 0.500
Ag 0.581 0.581 0.221
Ag 0.419 0.419 0.779

=====

First-principles (PBE-GGA) data for crystalline Sm3HoAg at its relaxed geometry, as listed in the Alexandria database.

Energy of formation, kJ per mole of atoms: 2
Space group: C2/m

a = 6.820 Å, b = 6.820 Å, c = 8.610 Å
α = 90.09°, β = 119.39°, γ = 112.24°
Element x y z (fractional)
Sm 0.739 0.921 0.153
Sm 0.232 0.414 0.153
Sm 0.768 0.586 0.847
Sm 0.810 0.452 0.262
Sm 0.261 0.079 0.847
Sm 0.190 0.548 0.738
Ho 0.685 0.057 0.742
Ho 0.315 0.943 0.258
Ag 0.735 0.762 0.498
Ag 0.265 0.238 0.502

=====

First-principles (PBE-GGA) data for crystalline SmHo2Ag at its relaxed geometry, as listed in the Alexandria database.

Energy of formation, kJ per mole of atoms: 2
Excess energy over the best structure of this formula in the dataset, meV/atom: 156
Space group: P4/mmm

a = 3.653 Å, b = 5.482 Å, c = 5.482 Å
α = 90.00°, β = 90.00°, γ = 90.00°
Element x y z (fractional)
Ag 0.500 0.000 0.000
Ho 0.000 0.000 0.500
Ho 0.000 0.500 0.000
Sm 0.500 0.500 0.500

=====

First-principles (PBE-GGA) data for crystalline SmHoAg2 at its relaxed geometry, as listed in the Alexandria database.

Energy of formation, kJ per mole of atoms: -29
Space group: P4/mmm

a = 3.631 Å, b = 3.631 Å, c = 7.459 Å
α = 90.00°, β = 90.00°, γ = 90.00°
Element x y z (fractional)
Ag 0.000 0.000 0.765
Ag 0.000 0.000 0.235
Ho 0.500 0.500 0.000
Sm 0.500 0.500 0.500

=====

Number 1: total moment 0.00 Bohr magnetons per cell, total DFT energy (no corrections) -4.7383 eV per atom. Number 2: total moment 2.00 Bohr magnetons per cell, total DFT energy (no corrections) -5.4381 eV per atom. Number 3: total moment 0.00 Bohr magnetons per cell, total DFT energy (no corrections) -5.0831 eV per atom. Number 4: total moment 0.00 Bohr magnetons per cell, total DFT energy (no corrections) -5.0027 eV per atom. Number 5: total moment 0.00 Bohr magnetons per cell, total DFT energy (no corrections) -5.2592 eV per atom. Number 6: total moment 0.00 Bohr magnetons per cell, total DFT energy (no corrections) -5.0953 eV per atom. Number 7: total moment 0.00 Bohr magnetons per cell, total DFT energy (no corrections) -4.6970 eV per atom. Number 8: total moment 0.00 Bohr magnetons per cell, total DFT energy (no corrections) -4.9865 eV per atom. Number 9: total moment 0.00 Bohr magnetons per cell, total DFT energy (no corrections) -3.7839 eV per atom. Number 10: total moment 0.00 Bohr magnetons per cell, total DFT energy (no corrections) -4.7962 eV per atom. Number 11: total moment 0.00 Bohr magnetons per cell, total DFT energy (no corrections) -4.9862 eV per atom. Number 12: total moment 0.00 Bohr magnetons per cell, total DFT energy (no corrections) -4.8137 eV per atom. Number 13: total moment 0.00 Bohr magnetons per cell, total DFT energy (no corrections) -5.2516 eV per atom. Number 14: total moment 0.00 Bohr magnetons per cell, total DFT energy (no corrections) -5.3813 eV per atom. Number 15: total moment 0.00 Bohr magnetons per cell, total DFT energy (no corrections) -4.1867 eV per atom. Number 16: total moment 0.00 Bohr magnetons per cell, total DFT energy (no corrections) -4.1071 eV per atom. Number 17: total moment 0.00 Bohr magnetons per cell, total DFT energy (no corrections) -4.3154 eV per atom. Number 18: total moment 0.00 Bohr magnetons per cell, total DFT energy (no corrections) -4.0604 eV per atom. Number 19: total moment 0.00 Bohr magnetons per cell, total DFT energy (no corrections) -4.3921 eV per atom. Number 20: total moment 0.00 Bohr magnetons per cell, total DFT energy (no corrections) -3.9689 eV per atom. Number 21: total moment 0.00 Bohr magnetons per cell, total DFT energy (no corrections) -4.2988 eV per atom. Number 22: total moment 0.00 Bohr magnetons per cell, total DFT energy (no corrections) -4.1593 eV per atom. Number 23: total moment 0.00 Bohr magnetons per cell, total DFT energy (no corrections) -4.0552 eV per atom.